A plane-wave DFT calculation with PBE-GGA was carried out for a relaxed structure of SmPa2SnN5.

Lattice parameters (Å, degrees): 7.680 7.680 11.992 90.00 90.00 153.15
Fractional positions:
Sm 0.241 0.759 0.500
Sm 0.759 0.241 0.000
Pa 0.143 0.857 0.227
Pa 0.148 0.852 0.775
Pa 0.852 0.148 0.275
Pa 0.857 0.143 0.727
Sn 0.493 0.507 0.065
Sn 0.507 0.493 0.565
N 0.012 0.988 0.687
N 0.286 0.714 0.154
N 0.299 0.701 0.843
N 0.362 0.638 0.376
N 0.367 0.633 0.619
N 0.633 0.367 0.119
N 0.638 0.362 0.876
N 0.701 0.299 0.343
N 0.714 0.286 0.654
N 0.988 0.012 0.187

Results
Uncorrected formation energy = -10.4 eV/f.u.
Crystal system = orthorhombic
M_tot = 0.0 Bohr magnetons per cell